First-principles (SCAN) data for LaSi2Ir2 at its PBEsol-relaxed geometry, as listed in the Alexandria database.

Final energy ... -42.246 eV per atom
E_form (uncorrected) ... -569 kJ/mol of formula units
Space-group type ... I4/mmm (139)

a = 5.882 Å, b = 5.882 Å, c = 5.882 Å
α = 139.21°, β = 139.21°, γ = 59.06°
Fractional coordinates of all 5 atoms:
La  0.000  0.000  0.000
Si  0.374  0.374  0.000
Si  0.626  0.626  0.000
Ir  0.250  0.750  0.500
Ir  0.750  0.250  0.500

=====

First-principles (SCAN) data for LaSiIr at its PBEsol-relaxed geometry, as listed in the Alexandria database.

Final energy ... -42.411 eV per atom
E_form (uncorrected) ... -291 kJ/mol of formula units
Space-group type ... P-6m2 (187)

a = 4.121 Å, b = 4.121 Å, c = 4.337 Å
α = 90.00°, β = 90.00°, γ = 120.00°
Fractional coordinates of all 3 atoms:
La  0.000  0.000  0.000
Si  0.667  0.333  0.500
Ir  0.333  0.667  0.500

=====

First-principles (SCAN) data for LaSi2Ir at its PBEsol-relaxed geometry, as listed in the Alexandria database.

Final energy ... -34.073 eV per atom
E_form (uncorrected) ... -198 kJ/mol of formula units
Space-group type ... Imm2 (44)

a = 6.303 Å, b = 6.303 Å, c = 6.303 Å
α = 147.05°, β = 145.13°, γ = 48.73°
Fractional coordinates of all 4 atoms:
La  0.000  0.000  0.000
Si  0.264  0.764  0.500
Si  0.626  0.626  0.000
Ir  0.761  0.261  0.500

=====

First-principles (SCAN) data for LaSi2Ir at its PBEsol-relaxed geometry, as listed in the Alexandria database.

Final energy ... -34.598 eV per atom
E_form (uncorrected) ... -401 kJ/mol of formula units
Space-group type ... R-3m (166)

a = 5.708 Å, b = 5.708 Å, c = 5.708 Å
α = 42.02°, β = 42.02°, γ = 42.02°
Fractional coordinates of all 4 atoms:
La  0.000  0.000  0.000
Si  0.208  0.208  0.208
Si  0.792  0.792  0.792
Ir  0.500  0.500  0.500

=====

First-principles (SCAN) data for LaSiIr at its PBEsol-relaxed geometry, as listed in the Alexandria database.

Final energy ... -42.556 eV per atom
E_form (uncorrected) ... -333 kJ/mol of formula units
Space-group type ... P2_13 (198)

a = 6.357 Å, b = 6.357 Å, c = 6.357 Å
α = 90.00°, β = 90.00°, γ = 90.00°
Fractional coordinates of all 12 atoms:
La  0.136  0.136  0.136
La  0.364  0.864  0.636
La  0.636  0.364  0.864
La  0.864  0.636  0.364
Si  0.159  0.341  0.659
Si  0.341  0.659  0.159
Si  0.659  0.159  0.341
Si  0.841  0.841  0.841
Ir  0.072  0.572  0.928
Ir  0.428  0.428  0.428
Ir  0.572  0.928  0.072
Ir  0.928  0.072  0.572

=====

First-principles (SCAN) data for LaSi2Ir at its PBEsol-relaxed geometry, as listed in the Alexandria database.

Final energy ... -33.670 eV per atom
E_form (uncorrected) ... -43 kJ/mol of formula units
Space-group type ... Fm-3m (225)

a = 4.644 Å, b = 4.644 Å, c = 4.644 Å
α = 60.00°, β = 60.00°, γ = 60.00°
Fractional coordinates of all 4 atoms:
La  0.000  0.000  0.000
Si  0.250  0.250  0.250
Si  0.750  0.750  0.750
Ir  0.500  0.500  0.500

=====

First-principles (SCAN) data for LaSn2Ir2 at its PBEsol-relaxed geometry, as listed in the Alexandria database.

Final energy ... -52.113 eV per atom
Space-group type ... I4/mmm (139)

a = 6.293 Å, b = 6.293 Å, c = 6.293 Å
α = 138.56°, β = 138.56°, γ = 60.05°
Fractional coordinates of all 5 atoms:
La  0.000  0.000  0.000
Sn  0.250  0.750  0.500
Sn  0.750  0.250  0.500
Ir  0.386  0.386  0.000
Ir  0.614  0.614  0.000

=====

First-principles (SCAN) data for La2SnIr2 at its PBEsol-relaxed geometry, as listed in the Alexandria database.

Final energy ... -53.642 eV per atom
Space-group type ... P4/mbm (127)

a = 7.503 Å, b = 7.503 Å, c = 4.049 Å
α = 90.00°, β = 90.00°, γ = 90.00°
Fractional coordinates of all 10 atoms:
La  0.177  0.323  0.000
La  0.323  0.823  0.000
La  0.677  0.177  0.000
La  0.823  0.677  0.000
Sn  0.000  0.000  0.500
Sn  0.500  0.500  0.500
Ir  0.127  0.627  0.500
Ir  0.373  0.127  0.500
Ir  0.627  0.873  0.500
Ir  0.873  0.373  0.500

=====

First-principles (SCAN) data for La5Sn10Ir4 at its PBEsol-relaxed geometry, as listed in the Alexandria database.

Final energy ... -46.050 eV per atom
Space-group type ... P4/mbm (127)

a = 14.041 Å, b = 14.041 Å, c = 4.668 Å
α = 90.00°, β = 90.00°, γ = 90.00°
Fractional coordinates of all 38 atoms:
La  0.000  0.000  0.000
La  0.112  0.388  0.500
La  0.177  0.677  0.500
La  0.323  0.177  0.500
La  0.388  0.888  0.500
La  0.500  0.500  0.000
La  0.612  0.112  0.500
La  0.677  0.823  0.500
La  0.823  0.323  0.500
La  0.888  0.612  0.500
Sn  0.002  0.837  0.500
Sn  0.070  0.570  0.000
Sn  0.155  0.198  0.000
Sn  0.163  0.002  0.500
Sn  0.198  0.845  0.000
Sn  0.302  0.345  0.000
Sn  0.337  0.502  0.500
Sn  0.345  0.698  0.000
Sn  0.430  0.070  0.000
Sn  0.498  0.337  0.500
Sn  0.502  0.663  0.500
Sn  0.570  0.930  0.000
Sn  0.655  0.302  0.000
Sn  0.663  0.498  0.500
Sn  0.698  0.655  0.000
Sn  0.802  0.155  0.000
Sn  0.837  0.998  0.500
Sn  0.845  0.802  0.000
Sn  0.930  0.430  0.000
Sn  0.998  0.163  0.500
Ir  0.026  0.754  0.000
Ir  0.246  0.026  0.000
Ir  0.254  0.526  0.000
Ir  0.474  0.254  0.000
Ir  0.526  0.746  0.000
Ir  0.746  0.474  0.000
Ir  0.754  0.974  0.000
Ir  0.974  0.246  0.000

=====

First-principles (SCAN) data for LaSnIr at its PBEsol-relaxed geometry, as listed in the Alexandria database.

Final energy ... -50.995 eV per atom
Space-group type ... P-62m (189)

a = 7.424 Å, b = 7.424 Å, c = 4.203 Å
α = 90.00°, β = 90.00°, γ = 120.00°
Fractional coordinates of all 9 atoms:
La  0.000  0.417  0.000
La  0.417  0.000  0.000
La  0.583  0.583  0.000
Sn  0.000  0.753  0.500
Sn  0.247  0.247  0.500
Sn  0.753  0.000  0.500
Ir  0.000  0.000  0.000
Ir  0.333  0.667  0.500
Ir  0.667  0.333  0.500

=====

First-principles (SCAN) data for La3Sn13Ir4 at its PBEsol-relaxed geometry, as listed in the Alexandria database.

Final energy ... -44.654 eV per atom
Space-group type ... Pm-3n (223)

a = 9.720 Å, b = 9.720 Å, c = 9.720 Å
α = 90.00°, β = 90.00°, γ = 90.00°
Fractional coordinates of all 40 atoms:
La  0.000  0.250  0.500
La  0.000  0.750  0.500
La  0.250  0.500  0.000
La  0.500  0.000  0.250
La  0.500  0.000  0.750
La  0.750  0.500  0.000
Sn  0.000  0.000  0.000
Sn  0.000  0.306  0.152
Sn  0.000  0.306  0.848
Sn  0.000  0.694  0.152
Sn  0.000  0.694  0.848
Sn  0.152  0.000  0.306
Sn  0.152  0.000  0.694
Sn  0.194  0.500  0.348
Sn  0.194  0.500  0.652
Sn  0.306  0.152  0.000
Sn  0.306  0.848  0.000
Sn  0.348  0.194  0.500
Sn  0.348  0.806  0.500
Sn  0.500  0.348  0.194
Sn  0.500  0.348  0.806
Sn  0.500  0.500  0.500
Sn  0.500  0.652  0.194
Sn  0.500  0.652  0.806
Sn  0.652  0.194  0.500
Sn  0.652  0.806  0.500
Sn  0.694  0.152  0.000
Sn  0.694  0.848  0.000
Sn  0.806  0.500  0.348
Sn  0.806  0.500  0.652
Sn  0.848  0.000  0.306
Sn  0.848  0.000  0.694
Ir  0.250  0.250  0.250
Ir  0.250  0.250  0.750
Ir  0.250  0.750  0.250
Ir  0.250  0.750  0.750
Ir  0.750  0.250  0.250
Ir  0.750  0.250  0.750
Ir  0.750  0.750  0.250
Ir  0.750  0.750  0.750

=====

First-principles (SCAN) data for Sr2LaIr at its PBEsol-relaxed geometry, as listed in the Alexandria database.

Final energy ... -39.402 eV per atom
Space-group type ... Fm-3m (225)

a = 5.348 Å, b = 5.348 Å, c = 5.348 Å
α = 60.00°, β = 60.00°, γ = 60.00°
Fractional coordinates of all 4 atoms:
Sr  0.250  0.250  0.250
Sr  0.750  0.750  0.750
La  0.000  0.000  0.000
Ir  0.500  0.500  0.500

=====

First-principles (SCAN) data for Sr2LaIr at its PBEsol-relaxed geometry, as listed in the Alexandria database.

Final energy ... -40.056 eV per atom
Space-group type ... Amm2 (38)

a = 3.883 Å, b = 9.037 Å, c = 9.037 Å
α = 27.08°, β = 90.00°, γ = 90.00°
Fractional coordinates of all 4 atoms:
Sr  0.000  0.000  0.000
Sr  0.500  0.318  0.318
La  0.500  0.651  0.651
Ir  0.000  0.174  0.174

=====

First-principles (SCAN) data for Sr2LaIr at its PBEsol-relaxed geometry, as listed in the Alexandria database.

Final energy ... -40.054 eV per atom
Space-group type ... Cm (8)

a = 4.193 Å, b = 4.193 Å, c = 10.438 Å
α = 101.44°, β = 101.44°, γ = 59.91°
Fractional coordinates of all 4 atoms:
Sr  0.000  0.000  0.000
Sr  0.216  0.216  0.648
La  0.781  0.781  0.341
Ir  0.491  0.491  0.472

=====

First-principles (SCAN) data for SrLaIr at its PBEsol-relaxed geometry, as listed in the Alexandria database.

Final energy ... -45.999 eV per atom
Space-group type ... P3m1 (156)

a = 4.197 Å, b = 4.197 Å, c = 6.706 Å
α = 90.00°, β = 90.00°, γ = 120.00°
Fractional coordinates of all 3 atoms:
Sr  0.000  0.000  0.000
La  0.667  0.333  0.537
Ir  0.333  0.667  0.734

=====

First-principles (SCAN) data for SrLaIr4 at its PBEsol-relaxed geometry, as listed in the Alexandria database.

Final energy ... -58.906 eV per atom
Space-group type ... F-43m (216)

a = 5.401 Å, b = 5.401 Å, c = 5.401 Å
α = 60.00°, β = 60.00°, γ = 60.00°
Fractional coordinates of all 6 atoms:
Sr  0.000  0.000  0.000
La  0.750  0.750  0.750
Ir  0.375  0.375  0.375
Ir  0.375  0.375  0.875
Ir  0.375  0.875  0.375
Ir  0.875  0.375  0.375

=====

First-principles (SCAN) data for Sr2LaIr at its PBEsol-relaxed geometry, as listed in the Alexandria database.

Final energy ... -39.631 eV per atom
Space-group type ... P4/mmm (123)

a = 3.539 Å, b = 3.539 Å, c = 10.173 Å
α = 90.00°, β = 90.00°, γ = 90.00°
Fractional coordinates of all 4 atoms:
Sr  0.000  0.000  0.172
Sr  0.000  0.000  0.828
La  0.500  0.500  0.500
Ir  0.500  0.500  0.000

=====

First-principles (SCAN) data for SrLaIr2 at its PBEsol-relaxed geometry, as listed in the Alexandria database.

Final energy ... -52.181 eV per atom
Space-group type ... P4/mmm (123)

a = 3.609 Å, b = 3.609 Å, c = 6.874 Å
α = 90.00°, β = 90.00°, γ = 90.00°
Fractional coordinates of all 4 atoms:
Sr  0.000  0.000  0.000
La  0.000  0.000  0.500
Ir  0.500  0.500  0.278
Ir  0.500  0.500  0.722

=====

First-principles (SCAN) data for LaTaIr at its PBEsol-relaxed geometry, as listed in the Alexandria database.

Final energy ... -60.044 eV per atom
Space-group type ... F-43m (216)

a = 4.518 Å, b = 4.518 Å, c = 4.518 Å
α = 60.00°, β = 60.00°, γ = 60.00°
Fractional coordinates of all 3 atoms:
La  0.000  0.000  0.000
Ta  0.250  0.250  0.250
Ir  0.500  0.500  0.500

=====

First-principles (SCAN) data for LaTa2Ir at its PBEsol-relaxed geometry, as listed in the Alexandria database.

Final energy ... -61.558 eV per atom
Space-group type ... P4/mmm (123)

a = 3.983 Å, b = 3.983 Å, c = 4.966 Å
α = 90.00°, β = 90.00°, γ = 90.00°
Fractional coordinates of all 4 atoms:
La  0.000  0.000  0.000
Ta  0.000  0.500  0.500
Ta  0.500  0.000  0.500
Ir  0.500  0.500  0.000